1.
## Na3ErCl6 (PBEsol)

Data for Na3ErCl6 after structural relaxation.

Structure (POSCAR):
```
Na3ErCl6
1.0
-7.065 -1.599 -1.250
-1.863 -6.606 -2.630
-3.495 -4.820 4.311
Na Er Cl
3 1 6
Cartesian
-9.317 -9.769 0.323
-3.106 -3.256 0.108
-6.212 -6.513 0.215
0.000 0.000 0.000
-6.645 -4.018 -0.529
-7.591 -7.372 -1.864
-5.778 -9.008 0.959
-8.420 -6.465 1.660
-4.004 -6.560 -1.230
-4.832 -5.653 2.295
```

Computed properties:
ρ: 2.7 g/cm3
size of the total moment: 0.0 Bohr magnetons per cell
formation energy without anion corrections: -1.86 eV per atom
total DFT energy (no corrections): -3.973 eV/atom

=====

2.
## ErClO (PBEsol)

Data for ErClO after structural relaxation.

Structure (POSCAR):
```
ErClO
1.0
3.684 0.000 0.000
0.000 4.098 0.000
0.000 0.000 8.629
Er O Cl
2 2 2
Cartesian
1.842 0.000 1.037
0.000 2.049 7.592
0.000 0.000 8.370
1.842 2.049 0.259
1.842 2.049 5.719
0.000 0.000 2.910
```

Computed properties:
ρ: 5.6 g/cm3
size of the total moment: 0.0 Bohr magnetons per cell
formation energy without anion corrections: -3.11 eV per atom
total DFT energy (no corrections): -7.172 eV/atom